Record 1
Computed, not measured: LaZr2Cu2 after structural relaxation at the PBE level of DFT.

Formation energy from the elements: 0.20 eV per atom
Spin magnetization: 0.00 μB per atom

Cell lengths 4.666, 4.666, 6.351 Å; angles 68.45, 68.45, 90.00 degrees
Element x y z (fractional)
Cu1 0.250 0.750 0.500
Zr1 0.644 0.644 0.711
La1 0.000 0.000 0.000
Cu2 0.750 0.250 0.500
Zr2 0.356 0.356 0.289

***

Record 2
Computed, not measured: ZnCu8Ni2 after structural relaxation at the PBE level of DFT.

Formation energy from the elements: -0.03 eV per atom
Spin magnetization: 0.00 μB per atom

Cell lengths 3.575, 5.777, 6.786 Å; angles 75.07, 105.37, 89.95 degrees
Element x y z (fractional)
Cu1 0.772 0.636 0.544
Cu2 0.407 0.455 0.815
Zn1 0.500 0.000 0.000
Cu3 0.684 0.089 0.367
Cu4 0.593 0.545 0.185
Cu5 0.316 0.911 0.633
Cu6 0.228 0.364 0.456
Cu7 0.954 0.725 0.907
Cu8 0.046 0.275 0.093
Ni1 0.864 0.181 0.728
Ni2 0.136 0.819 0.272

***

Record 3
Computed, not measured: YAlFe after structural relaxation at the PBE level of DFT.

Formation energy from the elements: 0.12 eV per atom
Spin magnetization: 0.00 μB per atom

Cell lengths 4.390, 4.390, 4.390 Å; angles 60.00, 60.00, 60.00 degrees
Element x y z (fractional)
Fe1 0.750 0.750 0.750
Al1 0.500 0.500 0.500
Y1 0.000 0.000 0.000

***

Record 4
Computed, not measured: BaNpB2S6 after structural relaxation at the PBE level of DFT.

Spin magnetization: 0.30 μB per atom
E_form (uncorrected): -0.9567 eV/atom

Cell lengths 7.811, 7.811, 8.483 Å; angles 100.08, 100.08, 104.02 degrees
Element x y z (fractional)
Ba1 0.858 0.142 0.750
S1 0.453 0.685 0.091
Ba2 0.142 0.858 0.250
S2 0.186 0.229 0.104
S3 0.558 0.087 0.276
S4 0.685 0.453 0.591
B1 0.390 0.128 0.748
S5 0.814 0.771 0.896
B2 0.872 0.610 0.752
Np1 0.570 0.430 0.250
B3 0.128 0.390 0.248
S6 0.087 0.558 0.776
S7 0.229 0.186 0.604
B4 0.610 0.872 0.252
S8 0.442 0.913 0.724
S9 0.771 0.814 0.396
Np2 0.430 0.570 0.750
S10 0.547 0.315 0.909
S11 0.913 0.442 0.224
S12 0.315 0.547 0.409

***

Record 5
Computed, not measured: PmNd6Y2Tm after structural relaxation at the PBE level of DFT.

Formation energy from the elements: 0.12 eV per atom
Spin magnetization: 0.00 μB per atom

Cell lengths 9.600, 8.986, 8.986 Å; angles 116.75, 93.19, 93.19 degrees
Element x y z (fractional)
Y1 0.550 0.204 0.299
Tm1 0.750 0.588 0.412
Nd1 0.557 0.762 0.116
Nd2 0.884 0.293 0.519
Nd3 0.443 0.238 0.884
Nd4 0.384 0.519 0.293
Nd5 0.057 0.116 0.762
Nd6 0.312 0.995 0.439
Nd7 0.188 0.561 0.005
Nd8 0.943 0.884 0.238
Nd9 0.812 0.439 0.995
Nd10 0.616 0.481 0.707
Y2 0.450 0.796 0.701
Y3 0.950 0.701 0.796
Nd11 0.688 0.005 0.561
Pm1 0.750 0.032 0.968
Pm2 0.250 0.968 0.032
Tm2 0.250 0.412 0.588
Y4 0.050 0.299 0.204
Nd12 0.116 0.707 0.481

***

Record 6
Computed, not measured: Rb2GaBBr6 after structural relaxation at the PBE level of DFT.

Spin magnetization: 0.00 μB per atom
E_form (uncorrected): -0.7138 eV/atom

Cell lengths 7.477, 7.477, 7.538 Å; angles 60.27, 60.27, 90.00 degrees
Element x y z (fractional)
Br1 0.271 0.271 0.458
Br2 0.280 0.280 0.000
Br3 0.720 0.280 0.000
Rb1 0.750 0.250 0.500
B1 0.500 0.500 0.000
Ga1 0.000 0.000 0.000
Br4 0.729 0.729 0.542
Rb2 0.250 0.750 0.500
Br5 0.720 0.720 0.000
Br6 0.280 0.720 0.000